1.
A geometry-optimized Ce6Hg2Os structure. Source: Alexandria, functional PBE.

Unit cell a=3.6742 b=15.0704 c=8.6763 alpha=90.00 beta=90.00 gamma=90.00
Last column: nearest neighbours and their distance in Å.
Space group Amm2 (No. 38)
Unique sites:
Ce 0.0000 0.0000 0.0000 (multiplicity 2)  2 Os 2.82
Ce 0.0000 0.1233 0.6295 (multiplicity 4)  2 Os 2.82
Ce 0.5000 0.0000 0.3629 (multiplicity 2)  4 Hg 3.26, 1 Os 3.38, 6 Ce 3.49-3.65
Ce 0.5000 0.1943 0.9474 (multiplicity 4)  4 Hg 3.25, 1 Os 3.38, 4 Ce 3.48-3.49
Hg 0.0000 0.1669 0.2531 (multiplicity 4)  9 Ce 3.25-3.34
Os 0.5000 0.0000 0.7528 (multiplicity 2)  6 Ce 2.82

Computed properties:
The calculation puts the formation enthalpy at 0 K at -193 meV/atom. The raw total energy is -5.463 eV per atom.

---

2.
A geometry-optimized Ce4Hg3Os structure. Source: Alexandria, functional PBE.

Unit cell a=7.4214 b=7.4214 c=7.4214 alpha=90.00 beta=90.00 gamma=90.00
Last column: nearest neighbours and their distance in Å.
Space group Im-3m (No. 229)
Unique sites:
Ce 0.2500 0.2500 0.2500 (multiplicity 8)  6 Hg 3.21, 2 Os 3.21
Hg 0.0000 0.0000 0.5000 (multiplicity 6)  8 Ce 3.21
Os 0.0000 0.0000 0.0000 (multiplicity 2)  8 Ce 3.21

Computed properties:
The calculation puts the formation enthalpy at 0 K at -161 meV/atom. The raw total energy is -4.645 eV per atom.

---

3.
A geometry-optimized Ce8HgOs2 structure. Source: Alexandria, functional PBE.

Unit cell a=16.9471 b=6.4820 c=5.3359 alpha=90.00 beta=106.56 gamma=90.00
Last column: nearest neighbours and their distance in Å.
Space group C2 (No. 5)
Unique sites:
Ce 0.0000 0.0000 0.0000 (multiplicity 2)  2 Ce 2.99, 2 Hg 3.20-3.29
Ce 0.0000 0.2086 0.5000 (multiplicity 2)  2 Os 2.73, 2 Ce 2.99
Ce 0.0882 0.7013 0.5842 (multiplicity 4)  1 Os 2.64, 1 Ce 2.87
Ce 0.1844 0.3170 0.1645 (multiplicity 4)  2 Ce 2.83-2.88, 3 Os 3.04-3.17
Ce 0.2240 0.8919 0.2056 (multiplicity 4)  2 Ce 2.83-2.88, 3 Os 2.85-3.14
Hg 0.0000 0.5071 0.0000 (multiplicity 2)  10 Ce 3.20-3.30
Os 0.1586 0.0690 0.6360 (multiplicity 4)  3 Ce 2.64-2.85

Computed properties:
The calculation puts the formation enthalpy at 0 K at -126 meV/atom. The raw total energy is -6.511 eV per atom.

---

4.
A geometry-optimized CePmHgOs structure. Source: Alexandria, functional PBE.

Unit cell a=7.2631 b=7.2631 c=7.2631 alpha=90.00 beta=90.00 gamma=90.00
Last column: nearest neighbours and their distance in Å.
Space group F-43m (No. 216)
Unique sites:
Ce 0.0000 0.0000 0.0000 (multiplicity 4)  4 Os 3.15, 4 Hg 3.15
Pm 0.0000 0.0000 0.5000 (multiplicity 4)  4 Hg 3.15, 4 Os 3.15
Hg 0.2500 0.2500 0.2500 (multiplicity 4)  4 Ce 3.15, 4 Pm 3.15
Os 0.2500 0.2500 0.7500 (multiplicity 4)  4 Ce 3.15, 4 Pm 3.15

Computed properties:
The calculation puts the formation enthalpy at 0 K at -129 meV/atom. The raw total energy is -5.683 eV per atom.